# 1
First-principles (PBEsol) data for an optimized crystal structure of K2NaTl2, as listed in Alexandria.

Calculated values
* energy of formation: -17 meV per atom
* total energy: -0.1325 Ry/atom
* DOS at the Fermi energy: 0.7601 states/eV/atom
* space-group type: P4/mbm (127)

abc: 5.7669 8.1728 8.1728
angles: 90.00 90.00 90.00
Last column: nearest neighbours and their distance in Å.
Fractional coordinates of all 10 atoms:
Na 0.0000 0.0000 0.0000  4 Tl 3.22
Na 0.0000 0.5000 0.5000  4 Tl 3.22
Tl 0.0000 0.3723 0.8723  1 Tl 2.95, 2 Na 3.22
Tl 0.0000 0.8723 0.6277  1 Tl 2.95, 2 Na 3.22
Tl 0.0000 0.6277 0.1277  1 Tl 2.95, 2 Na 3.22
Tl 0.0000 0.1277 0.3723  1 Tl 2.95, 2 Na 3.22
K 0.5000 0.1756 0.6756  6 Tl 3.67-3.82, 1 K 4.06
K 0.5000 0.6756 0.8244  6 Tl 3.67-3.82, 1 K 4.06
K 0.5000 0.8244 0.3244  6 Tl 3.67-3.82, 1 K 4.06
K 0.5000 0.3244 0.1756  6 Tl 3.67-3.82, 1 K 4.06



# 2
First-principles (PBEsol) data for an optimized crystal structure of Sc4BeP, as listed in Alexandria.

Calculated values
* energy of formation: 518 meV per atom
* total energy: -0.4055 Ry/atom
* DOS at the Fermi energy: 1.2877 states/eV/atom
* space-group type: F-43m (216)

abc: 5.4896 5.4896 5.4896
angles: 60.00 60.00 60.00
Last column: nearest neighbours and their distance in Å.
Fractional coordinates of all 6 atoms:
Be 0.7500 0.7500 0.7500  12 Sc 3.22, 4 P 3.36
P 0.0000 0.0000 0.0000  12 Sc 3.22, 4 Be 3.36
Sc 0.3751 0.3751 0.3751  6 Sc 2.74-2.75
Sc 0.3751 0.3751 0.8746  6 Sc 2.74-2.75
Sc 0.8746 0.3751 0.3751  6 Sc 2.74-2.75
Sc 0.3751 0.8746 0.3751  6 Sc 2.74-2.75



# 3
First-principles (PBEsol) data for an optimized crystal structure of Rh, as listed in Alexandria.

Calculated values
* offset from the most stable computed form: 42 meV per atom
* energy of formation: 42 meV per atom
* total energy: -0.5951 Ry/atom
* DOS at the Fermi energy: 1.5010 states/eV/atom
* space-group type: P6_3/mmc (194)

abc: 2.6795 2.6795 4.3434
angles: 90.00 90.00 120.00
Last column: nearest neighbours and their distance in Å.
Fractional coordinates of all 2 atoms:
Rh 0.3333 0.6667 0.2500  12 Rh 2.67-2.68
Rh 0.6667 0.3333 0.7500  12 Rh 2.67-2.68